Ce2Co2P3 | GGA-PBE | relaxed

```
Ce2Co2P3
1.0
9.433 0.000 0.000
0.000 3.884 0.000
-2.075 0.000 6.243
Ce Co P
4 4 6
Cartesian
0.786 0.000 1.817
1.856 1.942 4.427
5.502 1.942 1.817
6.572 0.000 4.427
-0.394 0.000 4.939
3.035 1.942 1.304
4.322 1.942 4.939
7.752 0.000 1.304
-1.038 1.942 3.122
-0.909 1.942 5.961
3.550 0.000 0.283
3.679 0.000 3.122
3.808 0.000 5.961
8.266 1.942 0.283
```

Properties
formation energy from the elements: -764.8 meV/atom



Ce4Co2P | GGA-PBE | relaxed

```
Ce4Co2P
1.0
-4.418 4.418 3.835
4.418 -4.418 3.835
4.418 4.418 -3.835
Ce Co P
8 4 2
Cartesian
3.754 2.750 -1.350
6.086 0.664 0.567
0.664 2.750 -0.567
0.664 1.668 2.484
1.668 -0.664 5.185
3.754 1.668 3.268
2.750 5.082 1.350
-1.668 3.754 4.402
2.209 -1.142 2.876
3.276 2.209 0.959
2.209 5.560 -0.959
1.142 2.209 4.793
0.000 0.000 0.000
0.000 4.418 1.917
```

Properties
formation energy from the elements: -512.3 meV/atom



CeCoP2 | GGA-PBE | relaxed

```
CeCoP2
1.0
3.909 0.000 0.000
0.000 3.909 0.000
0.000 0.000 8.916
Ce Co P
2 2 4
Cartesian
0.000 0.000 0.000
1.955 1.955 4.458
0.000 1.955 6.687
1.955 0.000 2.229
0.000 0.000 3.292
0.000 0.000 5.625
1.955 1.955 1.166
1.955 1.955 7.750
```

Properties
offset from the most stable computed form: 0 meV/atom
formation energy from the elements: -1006.7 meV/atom



Ce2CoP3Rh4 | GGA-PBE | relaxed

```
Ce2CoP3Rh4
1.0
4.058 0.000 0.000
0.000 4.058 0.000
0.000 0.000 9.936
Ce Co P Rh
2 1 3 4
Cartesian
0.000 2.029 2.430
2.029 0.000 7.506
2.029 2.029 0.000
0.000 0.000 0.000
0.000 2.029 6.315
2.029 0.000 3.621
0.000 0.000 4.968
0.000 2.029 8.636
2.029 0.000 1.300
2.029 2.029 4.968
```

Properties
formation energy from the elements: -950.1 meV/atom



Ce2Co3P4Rh | GGA-PBE | relaxed

```
Ce2Co3P4Rh
1.0
4.015 0.000 0.000
0.000 4.015 0.000
0.000 0.000 9.172
Ce Co P Rh
2 3 4 1
Cartesian
0.000 2.007 2.216
2.007 0.000 6.955
0.000 2.007 8.167
2.007 0.000 1.005
2.007 2.007 4.586
0.000 0.000 0.000
0.000 2.007 5.892
2.007 0.000 3.280
2.007 2.007 0.000
0.000 0.000 4.586
```

Properties
formation energy from the elements: -1076.8 meV/atom



CeCoP2Rh2 | GGA-PBE | relaxed

```
CeCoP2Rh2
1.0
4.299 0.000 0.000
0.000 4.299 0.000
0.000 0.000 5.299
Ce Co P Rh
1 1 2 2
Cartesian
0.000 0.000 0.000
0.000 0.000 2.650
0.000 2.149 2.650
2.149 0.000 2.650
2.149 2.149 1.317
2.149 2.149 3.983
```

Properties
formation energy from the elements: -484.5 meV/atom



Ce3Co2P4Ru2 | GGA-PBE | relaxed

```
Ce3Co2P4Ru2
1.0
3.925 0.000 0.000
-1.962 3.399 0.000
0.000 0.000 14.416
Ce Co P Ru
3 2 4 2
Cartesian
0.000 0.000 0.000
0.000 0.000 3.839
0.000 0.000 10.577
0.000 2.266 2.095
1.962 1.133 12.321
0.000 2.266 5.738
0.000 2.266 12.541
1.962 1.133 1.876
1.962 1.133 8.678
0.000 2.266 8.118
1.962 1.133 6.298
```

Properties
formation energy from the elements: -1031.2 meV/atom



CeCoP2Ru2 | GGA-PBE | relaxed

```
CeCoP2Ru2
1.0
4.336 0.000 0.000
0.000 4.336 0.000
0.000 0.000 5.156
Ce Co P Ru
1 1 2 2
Cartesian
0.000 0.000 0.000
0.000 0.000 2.578
0.000 2.168 2.578
2.168 0.000 2.578
2.168 2.168 1.253
2.168 2.168 3.903
```

Properties
formation energy from the elements: -254.4 meV/atom



CeCo2P2Ru | GGA-PBE | relaxed

```
CeCo2P2Ru
1.0
4.566 0.000 0.000
0.000 4.566 0.000
0.000 0.000 4.994
Ce Co P Ru
1 2 2 1
Cartesian
0.000 0.000 0.000
2.283 2.283 1.275
2.283 2.283 3.719
0.000 2.283 2.497
2.283 0.000 2.497
0.000 0.000 2.497
```

Properties
formation energy from the elements: -2.1 meV/atom



CeCoP2Ru | GGA-PBE | relaxed

```
CeCoP2Ru
1.0
3.916 0.000 0.000
0.000 3.916 0.000
0.000 0.000 9.920
Ce Co P Ru
2 2 4 2
Cartesian
0.000 0.000 0.000
1.958 1.958 4.960
0.000 1.958 2.480
1.958 0.000 7.440
0.000 0.000 3.741
0.000 0.000 6.179
1.958 1.958 1.219
1.958 1.958 8.701
0.000 1.958 7.440
1.958 0.000 2.480
```

Properties
formation energy from the elements: -972.3 meV/atom



CeCo5SbP2 | GGA-PBE | relaxed

```
CeCo5SbP2
1.0
3.748 0.000 0.000
0.000 3.748 0.000
0.000 0.000 9.877
Ce Co Sb P
1 5 1 2
Cartesian
0.000 0.000 0.000
0.000 1.874 3.209
0.000 1.874 6.668
1.874 0.000 3.209
1.874 0.000 6.668
1.874 1.874 0.000
0.000 0.000 4.938
1.874 1.874 2.147
1.874 1.874 7.730
```

Properties
formation energy (no corrections): -0.451 eV per atom



CeScCo2P2 | GGA-PBE | relaxed

```
CeScCo2P2
1.0
3.862 0.000 0.000
-1.931 3.344 0.000
0.000 0.000 7.384
Ce Sc Co P
1 1 2 2
Cartesian
0.000 0.000 0.000
0.000 0.000 3.692
0.000 2.230 5.496
1.931 1.115 1.888
0.000 2.230 2.028
1.931 1.115 5.357
```

Properties
formation energy from the elements: -1060.3 meV/atom



CeSmCo2P2 | GGA-PBE | relaxed

```
CeSmCo2P2
1.0
3.891 0.000 0.000
-1.945 3.369 0.000
0.000 0.000 7.992
Ce Sm Co P
1 1 2 2
Cartesian
0.000 0.000 0.000
0.000 0.000 3.996
0.000 2.246 6.154
1.945 1.123 1.838
0.000 2.246 2.055
1.945 1.123 5.937
```

Properties
formation energy from the elements: -1067.6 meV/atom



TbCeCo2P2 | GGA-PBE | relaxed

```
TbCeCo2P2
1.0
3.875 0.000 0.000
-1.938 3.356 0.000
0.000 0.000 7.885
Tb Ce Co P
1 1 2 2
Cartesian
0.000 0.000 0.000
0.000 0.000 3.942
0.000 2.237 2.100
1.938 1.119 5.785
0.000 2.237 6.008
1.938 1.119 1.877
```

Properties
formation energy from the elements: -1087.3 meV/atom



Ce2Co3TcP4 | GGA-PBE | relaxed

```
Ce2Co3TcP4
1.0
4.033 0.000 0.000
0.000 4.033 0.000
0.000 0.000 9.132
Ce Co Tc P
2 3 1 4
Cartesian
0.000 2.017 2.190
2.017 0.000 6.941
0.000 2.017 8.133
2.017 0.000 0.998
2.017 2.017 4.566
0.000 0.000 4.566
0.000 0.000 0.000
0.000 2.017 5.809
2.017 0.000 3.323
2.017 2.017 0.000
```

Properties
formation energy from the elements: -1015.6 meV/atom



CeThCo2P2 | GGA-PBE | relaxed

```
CeThCo2P2
1.0
3.953 0.000 0.000
-1.977 3.424 0.000
0.000 0.000 7.836
Ce Th Co P
1 1 2 2
Cartesian
0.000 0.000 0.000
0.000 0.000 3.918
0.000 2.282 2.032
1.977 1.141 5.803
0.000 2.282 5.978
1.977 1.141 1.858
```

Properties
formation energy from the elements: -1122.7 meV/atom



Ce2TiCo4P3 | GGA-PBE | relaxed

```
Ce2TiCo4P3
1.0
3.891 0.000 0.000
0.000 3.891 0.000
0.000 0.000 9.681
Ce Ti Co P
2 1 4 3
Cartesian
0.000 1.945 2.344
1.945 0.000 7.338
0.000 0.000 4.841
0.000 0.000 0.000
0.000 1.945 6.173
1.945 0.000 3.508
1.945 1.945 0.000
0.000 1.945 8.453
1.945 0.000 1.229
1.945 1.945 4.841
```

Properties
formation energy from the elements: -944.4 meV/atom



CeTmCo2P2 | GGA-PBE | relaxed

```
CeTmCo2P2
1.0
3.863 0.000 0.000
-1.931 3.345 0.000
0.000 0.000 7.763
Ce Tm Co P
1 1 2 2
Cartesian
0.000 0.000 0.000
0.000 0.000 3.882
0.000 2.230 5.911
1.931 1.115 1.853
0.000 2.230 2.065
1.931 1.115 5.699
```

Properties
formation energy from the elements: -1088.4 meV/atom



CeUCo2P2 | GGA-PBE | relaxed

```
CeUCo2P2
1.0
1.999 1.154 7.864
-1.999 1.154 7.864
0.000 -2.308 7.864
Ce U Co P
1 1 2 2
Cartesian
0.000 0.000 0.000
0.000 0.000 11.796
0.000 0.000 9.572
0.000 0.000 14.019
0.000 0.000 5.892
0.000 0.000 17.700
```

Properties
formation energy from the elements: -791.2 meV/atom



CeVCoP2 | GGA-PBE | relaxed

```
CeVCoP2
1.0
3.895 0.000 0.000
0.000 3.895 0.000
0.000 0.000 10.406
Ce V Co P
2 2 2 4
Cartesian
0.000 0.000 0.000
1.948 1.948 5.203
0.000 1.948 2.602
1.948 0.000 7.805
0.000 1.948 7.805
1.948 0.000 2.602
0.000 0.000 3.823
0.000 0.000 6.583
1.948 1.948 1.380
1.948 1.948 9.027
```

Properties
formation energy from the elements: -948.6 meV/atom



For the records above, the corresponding spin magnetization values read 0.00 0.00 0.11 1.76 0.69 0.14 0.00 0.00 2.02 0.00 0.19 0.01 0.00 0.00 0.00 0.00 0.78 0.00 1.46 1.77 μB per formula unit.
For the records above, the corresponding total DFT energy (no corrections) values read -6.809 -6.706 -6.972 -7.411 -7.294 -6.912 -7.595 -7.323 -6.709 -7.599 -6.718 -7.276 -7.015 -7.020 -7.535 -7.520 -7.386 -6.995 -7.833 -7.544 eV per atom.